--- one ---
First-principles (PBE-GGA) data for crystalline CdHg3 at its relaxed geometry, as listed in Alexandria.

Unit cell a=10.7476 b=3.3945 c=5.6342 alpha=90.00 beta=102.59 gamma=90.00
Space group C2/m (No. 12)
Unique sites:
Cd 0.0000 0.0000 0.0000 (multiplicity 2)
Hg 0.0000 0.5000 0.5000 (multiplicity 2)
Hg 0.2451 0.5000 0.2447 (multiplicity 4)

Calculated values
- theoretical density (Mg/m³) = 11.8
- D(E_F) (states/eV/atom) = 0.208
- volume (Å³/atom) = 25.076


--- two ---
First-principles (PBE-GGA) data for crystalline CdHg3 at its relaxed geometry, as listed in Alexandria.

Unit cell a=4.5496 b=6.3791 c=7.2341 alpha=90.00 beta=90.00 gamma=90.00
Space group Pmmn (No. 59, origin choice 2)
Unique sites:
Cd 0.2500 0.2500 0.1570 (multiplicity 2)
Hg 0.2500 0.0021 0.6460 (multiplicity 4)
Hg 0.2500 0.7500 0.1245 (multiplicity 2)

Calculated values
- theoretical density (Mg/m³) = 11.3
- D(E_F) (states/eV/atom) = 0.241
- volume (Å³/atom) = 26.244


Structures ranked by computed energy, the most stable listed first: two, one.


--- one ---
First-principles (PBE-GGA) data for crystalline CdHg3 at its relaxed geometry, as listed in Alexandria.

Unit cell a=5.1920 b=5.1920 c=3.8645 alpha=90.00 beta=90.00 gamma=90.00
Space group P4/mmm (No. 123)
Unique sites:
Cd 0.0000 0.0000 0.0000 (multiplicity 1)
Hg 0.0000 0.5000 0.5000 (multiplicity 2)
Hg 0.5000 0.5000 0.0000 (multiplicity 1)

Calculated values
- theoretical density (Mg/m³) = 11.4
- D(E_F) (states/eV/atom) = 0.178
- volume (Å³/atom) = 26.044


--- two ---
First-principles (PBE-GGA) data for crystalline CdHg3 at its relaxed geometry, as listed in Alexandria.

Unit cell a=6.3866 b=12.1810 c=5.3294 alpha=90.00 beta=90.00 gamma=90.00
Space group Cmcm (No. 63)
Unique sites:
Cd 0.0000 0.0759 0.2500 (multiplicity 4)
Hg 0.0000 0.4245 0.7500 (multiplicity 4)
Hg 0.2480 0.1726 0.7500 (multiplicity 8)

Calculated values
- theoretical density (Mg/m³) = 11.4
- D(E_F) (states/eV/atom) = 0.290
- volume (Å³/atom) = 25.912


--- three ---
First-principles (PBE-GGA) data for crystalline CdHg3 at its relaxed geometry, as listed in Alexandria.

Unit cell a=3.1797 b=4.4574 c=7.5072 alpha=90.00 beta=90.00 gamma=90.00
Space group Pmm2 (No. 25)
Unique sites:
Cd 0.0000 0.0000 0.0000 (multiplicity 1)
Hg 0.0000 0.5000 0.2740 (multiplicity 1)
Hg 0.5000 0.0000 0.5096 (multiplicity 1)
Hg 0.5000 0.5000 0.7937 (multiplicity 1)

Calculated values
- theoretical density (Mg/m³) = 11.1
- D(E_F) (states/eV/atom) = 0.157
- volume (Å³/atom) = 26.600


--- four ---
First-principles (PBE-GGA) data for crystalline CdHg3 at its relaxed geometry, as listed in Alexandria.

Unit cell a=5.8743 b=5.8743 c=5.8743 alpha=90.00 beta=90.00 gamma=90.00
Space group Pm-3m (No. 221)
Unique sites:
Cd 0.0000 0.0000 0.0000 (multiplicity 1)
Hg 0.0000 0.0000 0.5000 (multiplicity 3)

Calculated values
- theoretical density (Mg/m³) = 5.9
- D(E_F) (states/eV/atom) = 0.189
- volume (Å³/atom) = 50.676


Structures ranked by computed energy, the most stable listed first: three, one, two, four.


--- one ---
First-principles (PBE-GGA) data for crystalline CdHg3 at its relaxed geometry, as listed in Alexandria.

Unit cell a=3.5798 b=5.1437 c=11.2984 alpha=90.00 beta=90.00 gamma=90.00
Space group Immm (No. 71)
Unique sites:
Cd 0.0000 0.0000 0.0000 (multiplicity 2)
Hg 0.0000 0.0000 0.5000 (multiplicity 2)
Hg 0.0000 0.5000 0.2683 (multiplicity 4)

Calculated values
- theoretical density (Mg/m³) = 11.4
- D(E_F) (states/eV/atom) = 0.245
- volume (Å³/atom) = 26.005


--- two ---
First-principles (PBE-GGA) data for crystalline CdHg3 at its relaxed geometry, as listed in Alexandria.

Unit cell a=3.2614 b=3.2614 c=11.0420 alpha=90.00 beta=90.00 gamma=120.00
Space group P-6m2 (No. 187)
Unique sites:
Cd 0.0000 0.0000 0.0000 (multiplicity 1)
Hg 0.0000 0.0000 0.5000 (multiplicity 1)
Hg 0.3333 0.6667 0.2455 (multiplicity 2)

Calculated values
- theoretical density (Mg/m³) = 11.7
- D(E_F) (states/eV/atom) = 0.408
- volume (Å³/atom) = 25.429


--- three ---
First-principles (PBE-GGA) data for crystalline CdHg3 at its relaxed geometry, as listed in Alexandria.

Unit cell a=10.4914 b=10.4914 c=3.3007 alpha=90.00 beta=90.00 gamma=120.00
Space group R-3m (No. 166, hexagonal axes)
Unique sites:
Cd 0.0000 0.0000 0.0000 (multiplicity 3)
Hg 0.0000 0.5000 0.0000 (multiplicity 9)

Calculated values
- theoretical density (Mg/m³) = 11.3
- D(E_F) (states/eV/atom) = 0.312
- volume (Å³/atom) = 26.220


--- four ---
First-principles (PBE-GGA) data for crystalline CdHg3 at its relaxed geometry, as listed in Alexandria.

Unit cell a=5.9126 b=5.9126 c=5.9126 alpha=90.00 beta=90.00 gamma=90.00
Space group Pm-3n (No. 223)
Unique sites:
Cd 0.0000 0.0000 0.0000 (multiplicity 2)
Hg 0.0000 0.2500 0.5000 (multiplicity 6)

Calculated values
- theoretical density (Mg/m³) = 11.5
- D(E_F) (states/eV/atom) = 0.510
- volume (Å³/atom) = 25.837


Structures ranked by computed energy, the most stable listed first: one, three, two, four.


--- one ---
First-principles (PBE-GGA) data for crystalline CdHg3 at its relaxed geometry, as listed in Alexandria.

Unit cell a=3.5138 b=9.4570 c=6.2201 alpha=90.00 beta=90.00 gamma=90.00
Space group Imm2 (No. 44)
Unique sites:
Cd 0.0000 0.0000 0.0000 (multiplicity 2)
Hg 0.0000 0.2684 0.6978 (multiplicity 4)
Hg 0.0000 0.5000 0.0595 (multiplicity 2)

Calculated values
- theoretical density (Mg/m³) = 11.5
- D(E_F) (states/eV/atom) = 0.330
- volume (Å³/atom) = 25.837


--- two ---
First-principles (PBE-GGA) data for crystalline CdHg3 at its relaxed geometry, as listed in Alexandria.

Unit cell a=4.6743 b=4.6743 c=4.6743 alpha=90.00 beta=90.00 gamma=90.00
Space group Pm-3m (No. 221)
Unique sites:
Cd 0.0000 0.0000 0.0000 (multiplicity 1)
Hg 0.0000 0.5000 0.5000 (multiplicity 3)

Calculated values
- theoretical density (Mg/m³) = 11.6
- D(E_F) (states/eV/atom) = 0.378
- volume (Å³/atom) = 25.533


Structures ranked by computed energy, the most stable listed first: one, two.


--- one ---
First-principles (PBE-GGA) data for crystalline CdHg3 at its relaxed geometry, as listed in Alexandria.

Unit cell a=4.4641 b=4.4641 c=10.3476 alpha=90.00 beta=90.00 gamma=90.00
Space group I4/mmm (No. 139)
Unique sites:
Cd 0.0000 0.0000 0.0000 (multiplicity 2)
Hg 0.0000 0.0000 0.5000 (multiplicity 2)
Hg 0.0000 0.5000 0.2500 (multiplicity 4)

Calculated values
- theoretical density (Mg/m³) = 11.5
- D(E_F) (states/eV/atom) = 0.268
- volume (Å³/atom) = 25.776


--- two ---
First-principles (PBE-GGA) data for crystalline CdHg3 at its relaxed geometry, as listed in Alexandria.

Unit cell a=6.6322 b=6.6322 c=5.3406 alpha=90.00 beta=90.00 gamma=120.00
Space group P6_3/mmc (No. 194)
Unique sites:
Cd 0.3333 0.6667 0.2500 (multiplicity 2)
Hg 0.1680 0.3361 0.7500 (multiplicity 6)

Calculated values
- theoretical density (Mg/m³) = 11.7
- D(E_F) (states/eV/atom) = 0.243
- volume (Å³/atom) = 25.430


Structures ranked by computed energy, the most stable listed first: one, two.


--- one ---
First-principles (PBE-GGA) data for crystalline CdHg3 at its relaxed geometry, as listed in Alexandria.

Unit cell a=3.2796 b=5.0958 c=6.4000 alpha=90.00 beta=103.71 gamma=90.00
Space group P2/m (No. 10)
Unique sites:
Cd 0.0000 0.0000 0.0000 (multiplicity 1)
Hg 0.0000 0.0000 0.5000 (multiplicity 1)
Hg 0.4350 0.5000 0.2452 (multiplicity 2)

Calculated values
- theoretical density (Mg/m³) = 11.4
- D(E_F) (states/eV/atom) = 0.156
- volume (Å³/atom) = 25.978


--- two ---
First-principles (PBE-GGA) data for crystalline CdHg3 at its relaxed geometry, as listed in Alexandria.

Unit cell a=7.2166 b=9.1504 c=6.4217 alpha=90.00 beta=90.00 gamma=90.00
Space group Pnma (No. 62)
Unique sites:
Cd 0.0700 0.2500 0.1138 (multiplicity 4)
Hg 0.0073 0.2500 0.6215 (multiplicity 4)
Hg 0.2325 0.5166 0.8800 (multiplicity 8)

Calculated values
- theoretical density (Mg/m³) = 11.2
- D(E_F) (states/eV/atom) = 0.287
- volume (Å³/atom) = 26.503


Structures ranked by computed energy, the most stable listed first: two, one.